FeSb2SeI | GGA-PBE | relaxed Values from VASP.

Results
* energy: -19.454 eV/cell
* E above lowest polymorph: 0 meV/atom
* formation energy without anion corrections: 0.4577 eV per atom
* V: 126.0 Å³/cell
* total magnetization: 1.362 μB/cell
* density: 6.66 g/cm³

Structure (Quantum ESPRESSO input):
```
&SYSTEM
  ibrav = 0, nat = 5, ntyp = 4
/
ATOMIC_SPECIES
Fe 55.84 Fe.upf
Sb 121.76 Sb.upf
Se 78.96 Se.upf
I 126.90 I.upf
CELL_PARAMETERS angstrom
4.9610 0.0000 0.0000
0.0000 4.9610 0.0000
0.0000 0.0000 5.1180
ATOMIC_POSITIONS crystal
Fe 0.0000 0.0000 0.0000
Sb 0.0000 0.5000 0.0000
Sb 0.5000 0.0000 0.0000
Se 0.5000 0.5000 0.5000
I 0.0000 0.0000 0.5000
```